# 1
# AgP2W

An optimized crystal structure of AgP2W (PBE, the Alexandria database).

Cell and atoms, written as CIF:
```
data_AgP2W
_symmetry_space_group_name_H-M 'C 1 2/m 1'
_symmetry_Int_Tables_number 12
_symmetry_space_group_name_Hall '-C 2y'
_cell_length_a 6.158
_cell_length_b 8.080
_cell_length_c 2.664
_cell_angle_alpha 90.00
_cell_angle_beta 90.90
_cell_angle_gamma 90.00
loop_
_atom_site_label
_atom_site_type_symbol
_atom_site_fract_x
_atom_site_fract_y
_atom_site_fract_z
Ag1 Ag 0.000 0.000 0.000
P1 P 0.250 0.250 0.000
W1 W 0.000 0.500 0.000
```

Calculated values
Mass density   8.862 g cm⁻³
Energy above the lowest structure with this stoichiometry   0.511 eV per atom
Calculated formation energy   534 meV per atom

# 2
# PmEr4Rh4

An optimized crystal structure of PmEr4Rh4 (PBE, the Alexandria database).

Cell and atoms, written as CIF:
```
data_PmEr4Rh4
_symmetry_space_group_name_H-M 'P 42/n'
_symmetry_Int_Tables_number 86
_cell_length_a 8.837
_cell_length_b 8.837
_cell_length_c 5.576
_cell_angle_alpha 90.00
_cell_angle_beta 90.00
_cell_angle_gamma 90.00
loop_
_symmetry_equiv_pos_as_xyz
'x,y,z'
'-x,-y,-z'
'-y,x+1/2,z+1/2'
'y,-x+1/2,-z+1/2'
'-x+1/2,-y+1/2,z'
'x+1/2,y+1/2,-z'
'y+1/2,-x,z+1/2'
'-y+1/2,x,-z+1/2'
loop_
_atom_site_label
_atom_site_type_symbol
_atom_site_fract_x
_atom_site_fract_y
_atom_site_fract_z
Pm1 Pm 0.250 0.250 0.250
Er1 Er 0.075 0.658 0.163
Rh1 Rh 0.035 0.622 0.662
```

Calculated values
Mass density   9.349 g cm⁻³
Calculated formation energy   -671 meV per atom

# 3
# MgTc

An optimized crystal structure of MgTc (PBE, the Alexandria database).

Cell and atoms, written as CIF:
```
data_MgTc
_symmetry_space_group_name_H-M 'C m m m'
_symmetry_Int_Tables_number 65
_symmetry_space_group_name_Hall '-C 2 2'
_cell_length_a 4.479
_cell_length_b 9.563
_cell_length_c 4.412
_cell_angle_alpha 90.00
_cell_angle_beta 90.00
_cell_angle_gamma 90.00
loop_
_atom_site_label
_atom_site_type_symbol
_atom_site_fract_x
_atom_site_fract_y
_atom_site_fract_z
Mg1 Mg 0.000 0.000 0.000
Mg2 Mg 0.000 0.169 0.500
Tc1 Tc 0.000 0.332 0.000
Tc2 Tc 0.000 0.500 0.500
```

Calculated values
Mass density   6.449 g cm⁻³
Energy above the lowest structure with this stoichiometry   0.168 eV per atom
Calculated formation energy   143 meV per atom

# 4
# Pm5PuGa6

An optimized crystal structure of Pm5PuGa6 (PBE, the Alexandria database).

Cell and atoms, written as CIF:
```
data_Pm5PuGa6
_symmetry_space_group_name_H-M 'I m m m'
_symmetry_Int_Tables_number 71
_symmetry_space_group_name_Hall '-I 2 2'
_cell_length_a 5.169
_cell_length_b 7.308
_cell_length_c 15.525
_cell_angle_alpha 90.00
_cell_angle_beta 90.00
_cell_angle_gamma 90.00
loop_
_atom_site_label
_atom_site_type_symbol
_atom_site_fract_x
_atom_site_fract_y
_atom_site_fract_z
Pm1 Pm 0.000 0.000 0.000
Pm2 Pm 0.000 0.000 0.336
Pm3 Pm 0.000 0.500 0.332
Pu1 Pu 0.000 0.500 0.000
Ga1 Ga 0.000 0.249 0.167
Ga2 Ga 0.000 0.251 0.500
```

Calculated values
Mass density   7.857 g cm⁻³
Calculated formation energy   -507 meV per atom

> Which of these has the lowest mass density?

MgTc

> The highest calculated formation energy belongs to which entry?

AgP2W